PBE Ba2MnTe3, optimized geometry; SG = Pnma, No. 62; formation energy without anion corrections = -1247 meV/atom
1.0
-2.8803 -3.6358 1.2133
5.0941 -5.9945 -5.8700
11.6212 -4.3563 14.5338
Ba Mn Te
8 4 12
Cartesian
9.1115 -8.6565 9.8994 Ba
4.7236 -5.3301 -0.0224 Ba
10.7978 -11.3310 5.8879 Ba
3.0373 -2.6555 3.9892 Ba
6.8461 -4.7706 6.6930 Ba
6.9890 -9.2160 3.1841 Ba
14.2502 -9.5886 9.8323 Ba
-0.4151 -4.3980 0.0448 Ba
9.9972 -5.4669 12.0872 Mn
3.8378 -8.5197 -2.2101 Mn
3.9456 -6.5176 4.0452 Mn
9.8894 -7.4689 5.8319 Mn
5.5437 -7.3350 -4.0832 Te
11.7700 -8.3808 7.5635 Te
5.2021 -8.8241 0.1163 Te
2.0651 -5.6057 2.3136 Te
3.4326 -5.3188 6.4199 Te
10.4024 -8.6678 3.4572 Te
1.8403 -6.7643 -1.6919 Te
11.9948 -7.2222 11.5690 Te
7.3844 -8.3541 6.7055 Te
6.4507 -5.6325 3.1716 Te
8.6330 -5.1625 9.7607 Te
8.2913 -6.6516 13.9602 Te

***

PBE Ba4MnTe, optimized geometry; SG = F-43m, No. 216; formation energy without anion corrections = 399 meV/atom
1.0
2.9359 -2.6052 6.1417
-2.0712 -6.5041 2.5563
4.5939 -5.6526 -0.2685
Ba Mn Te
4 1 1
Cartesian
3.5166 -6.8371 6.2363 Ba
4.3474 -8.3641 3.0242 Ba
1.0077 -8.7908 4.4397 Ba
2.0455 -5.5317 3.1588 Ba
4.0939 -11.0713 6.3221 Mn
0.0000 0.0000 0.0000 Te

***

PBE BaMnTe, optimized geometry; SG = I4mm, No. 107; excess energy over the best structure of this formula in the dataset = 0.66 eV per formula unit; formation energy without anion corrections = -220 meV/atom
1.0
-0.5619 5.0453 -4.2566
1.2711 2.0415 -6.1727
-3.3011 -0.6195 -2.1847
Ba Mn Te
1 1 1
Cartesian
-3.2956 -0.6090 -2.1960 Ba
-2.1147 1.6603 -4.6238 Mn
-0.4827 4.7964 -7.9789 Te

***

PBE BaTmMnTe4, optimized geometry; SG = P2_1/m, No. 11; formation energy without anion corrections = -984 meV/atom
1.0
7.6890 0.0000 0.0452
0.0000 6.5166 0.0000
-2.9729 0.0000 9.1660
Ba Tm Mn Te
2 2 2 8
Cartesian
3.0299 4.8874 8.6745 Ba
1.6862 1.6291 0.5367 Ba
4.3078 4.8874 4.0408 Tm
0.4083 1.6291 5.1704 Tm
1.0438 4.8874 2.9780 Mn
3.6722 1.6291 6.2333 Mn
-1.9565 3.3128 6.5395 Te
6.6726 0.0545 2.6717 Te
6.6726 3.2037 2.6717 Te
-1.9565 6.4620 6.5395 Te
2.9793 4.8874 1.2083 Te
1.7368 1.6291 8.0030 Te
1.6100 4.8874 5.5351 Te
3.1061 1.6291 3.6761 Te

***

PBE Ba2UMnTe5, optimized geometry; SG = Cmc2_1, No. 36; formation energy without anion corrections = -1048 meV/atom
1.0
-3.9164 -2.4422 -0.3036
7.3023 -7.1521 -1.4307
0.4024 -2.3799 13.9514
Ba U Mn Te
4 2 2 10
Cartesian
2.4339 -9.5466 10.1598 Ba
1.5350 -3.6156 9.2815 Ba
1.4150 -2.7861 4.1580 Ba
2.2066 -8.0823 1.3157 Ba
1.4467 -7.4691 6.1837 U
2.1580 -3.4196 -0.3305 U
-0.8875 -4.5313 12.6620 Mn
4.8233 -8.3150 4.6674 Mn
3.7595 -5.9073 -0.9778 Te
0.4736 -6.5561 11.3923 Te
-1.6378 -3.0698 10.5840 Te
3.4420 -6.5582 8.3521 Te
3.0751 -10.0427 5.8797 Te
-0.1646 -4.9229 6.4878 Te
3.4126 -5.9970 4.2184 Te
5.4420 -8.9984 2.1840 Te
0.2787 -5.0164 1.5219 Te
0.5398 -0.9063 0.3269 Te

***

PBE BaUMnTe4, optimized geometry; SG = P2_1/m, No. 11; formation energy without anion corrections = -693 meV/atom
1.0
6.8689 0.0000 -0.1774
0.0000 6.4695 0.0000
-2.8921 0.0000 9.5406
Ba U Mn Te
2 2 2 8
Cartesian
2.6953 4.8521 9.0629 Ba
1.2815 1.6174 0.3003 Ba
3.4649 4.8521 3.9128 U
0.5119 1.6174 5.4505 U
1.4549 4.8521 3.4243 Mn
2.5219 1.6174 5.9389 Mn
4.7560 3.2353 6.4030 Te
-0.7793 0.0005 2.9602 Te
-0.7793 3.2342 2.9602 Te
4.7560 6.4689 6.4030 Te
2.3083 4.8521 0.8657 Te
1.6684 1.6174 8.4975 Te
1.0670 4.8521 6.0120 Te
2.9098 1.6174 3.3512 Te

***

PBE Ba2YMnTe5, optimized geometry; SG = Cmc2_1, No. 36; formation energy without anion corrections = -1220 meV/atom
1.0
-0.2332 -4.2296 1.7142
8.8011 -0.1780 -5.3330
7.0824 4.2886 11.5450
Ba Y Mn Te
4 2 2 10
Cartesian
12.4214 -0.2758 7.0999 Ba
7.1344 2.3881 6.8628 Ba
4.4486 0.8954 2.8145 Ba
7.7174 -2.9906 -0.2383 Ba
8.9034 -1.2396 4.2433 Y
3.6136 -0.7767 -1.4249 Y
7.5286 1.5619 10.9688 Mn
10.5973 -0.1818 0.9927 Mn
6.1025 -1.5279 -2.9399 Te
9.4083 0.7567 9.2377 Te
5.3380 1.1383 9.6258 Te
10.0916 1.4821 5.0295 Te
11.5910 -2.0205 2.6821 Te
6.1980 -0.6195 5.4055 Te
8.0069 0.1931 1.5654 Te
10.4834 -1.1537 -1.4207 Te
4.4721 -2.2591 1.1252 Te
0.7619 -0.0952 -0.1312 Te

***

PBE BaZrMn2Te, optimized geometry; SG = P4/mmm, No. 123; formation energy without anion corrections = 1112 meV/atom
1.0
-2.5394 1.7630 3.7528
-0.7964 -5.0137 1.8164
4.0836 0.3012 2.6218
Mn Te Ba Zr
2 1 1 1
Cartesian
2.0418 0.1506 1.3109 Mn
-1.2697 0.8815 1.8764 Mn
0.0000 0.0000 0.0000 Te
0.3739 -1.4748 4.0955 Ba
-0.3982 -2.5069 0.9082 Zr

***

PBE BaTiMn2, optimized geometry; SG = Fm-3m, No. 225; excess energy over the best structure of this formula in the dataset = 1.36 eV per formula unit; ΔH_f (0 K) = 1.1575 eV per atom
1.0
0.0000 3.2727 3.2727
3.2727 0.0000 3.2727
3.2727 3.2727 0.0000
Mn Ba Ti
2 1 1
Cartesian
1.6364 1.6364 1.6364 Mn
4.9091 4.9091 4.9091 Mn
3.2727 3.2727 3.2727 Ba
0.0000 0.0000 0.0000 Ti

***

PBE BaTiMn2, optimized geometry; SG = I4_1/amd, No. 141; excess energy over the best structure of this formula in the dataset = 0.00 eV per formula unit; ΔH_f (0 K) = 0.8178 eV per atom
1.0
5.2797 0.0000 0.0000
0.0000 5.2797 0.0000
2.6399 2.6399 8.1871
Mn Ba Ti
4 2 2
Cartesian
2.6395 1.3199 2.0468 Mn
2.6402 3.9598 2.0468 Mn
3.9598 5.2801 6.1403 Mn
6.5997 5.2794 6.1403 Mn
0.0000 0.0000 0.0000 Ba
5.2797 2.6399 4.0936 Ba
2.6399 2.6399 0.0000 Ti
2.6399 5.2797 4.0936 Ti

***

PBE BaTiMn3, optimized geometry; SG = Pm-3m, No. 221; excess energy over the best structure of this formula in the dataset = 7.05 eV per formula unit; ΔH_f (0 K) = 2.1819 eV per atom
1.0
-5.1070 0.2085 -0.2984
0.2746 -0.5477 -5.0832
-0.2389 -5.0863 0.5351
Mn Ba Ti
3 1 1
Cartesian
0.1373 -0.2739 -2.5416 Mn
-0.1195 -2.5432 0.2676 Mn
-2.5535 0.1043 -0.1492 Mn
0.0000 0.0000 0.0000 Ba
-2.5357 -2.7128 -2.4232 Ti

***

PBE BaTiMn3, optimized geometry; SG = Pm-3m, No. 221; excess energy over the best structure of this formula in the dataset = 0.00 eV per formula unit; ΔH_f (0 K) = 0.7714 eV per atom
1.0
4.9354 0.0000 0.0000
0.0000 4.9354 0.0000
0.0000 0.0000 4.9354
Mn Ba Ti
3 1 1
Cartesian
0.0000 2.4677 0.0000 Mn
0.0000 0.0000 2.4677 Mn
2.4677 0.0000 0.0000 Mn
2.4677 2.4677 2.4677 Ba
0.0000 0.0000 0.0000 Ti

***

For the records above, the corresponding total DFT energy (no corrections) values read -4.9872 -2.9346 -4.9644 -5.0029 -5.4935 -5.6852 -5.1301 -5.2784 -5.8817 -6.2214 -5.2833 -6.6939 eV per atom.